{"formula": "SrFe3B4O12", "functional": "PBE with a Hubbard U", "state": "optimized geometry", "lattice": [[4.811, 2.778, 2.597], [-4.811, 2.778, 2.597], [0.000, -5.555, 2.597]], "species": ["Sr", "Fe", "Fe", "Fe", "B", "B", "B", "B", "O", "O", "O", "O", "O", "O", "O", "O", "O", "O", "O", "O"], "frac_coords": [[0.000, 0.000, 0.000], [0.000, 0.552, 0.448], [0.448, 0.000, 0.552], [0.552, 0.448, 0.000], [0.058, 0.500, 0.942], [0.500, 0.500, 0.500], [0.500, 0.942, 0.058], [0.942, 0.058, 0.500], [0.020, 0.614, 0.776], [0.088, 0.912, 0.500], [0.224, 0.386, 0.980], [0.357, 0.643, 0.500], [0.386, 0.980, 0.224], [0.500, 0.088, 0.912], [0.500, 0.357, 0.643], [0.614, 0.776, 0.020], [0.643, 0.500, 0.357], [0.776, 0.020, 0.614], [0.912, 0.500, 0.088], [0.980, 0.224, 0.386]], "final_energy_ev_per_cell": -143.21, "total_magnetization_mub_per_fu": 7.99}